# TlBiCl3

A relaxed TlBiCl3 crystal (PBE-GGA, the Alexandria database).

a b c (Å): 5.6463 5.6463 5.6463
angles (deg): 90.00 90.00 90.00
Closest atoms and distances in Å follow each position.
Atoms (fractional coordinates):
1 Tl 0.0000 0.0000 0.0000  12 Cl 3.99
2 Bi 0.5000 0.5000 0.5000  6 Cl 2.82
3 Cl 0.0000 0.5000 0.5000  2 Bi 2.82
4 Cl 0.5000 0.0000 0.5000  2 Bi 2.82
5 Cl 0.5000 0.5000 0.0000  2 Bi 2.82

Computed properties:
V: 36.001 Å³/atom
size of the total moment: 0.0000 μB per atom
ΔE_f (raw): -0.730 eV/atom
density: 4.79 g cm⁻³
symmetry: Pm-3m (221)
ΔE to the lowest computed polymorph: 147 meV per atom

***

# LiEr2AuO5

A relaxed LiEr2AuO5 crystal (PBE-GGA, the Alexandria database).

a b c (Å): 6.4474 6.4474 5.8606
angles (deg): 90.00 90.00 90.00
Closest atoms and distances in Å follow each position.
Atoms (fractional coordinates):
1 Li 0.0000 0.0000 0.0000  10 O 2.93, 4 Au 3.22
2 Li 0.5000 0.5000 0.0000  10 O 2.93, 4 Au 3.22
3 Er 0.1766 0.3234 0.5000  4 O 2.19-2.38
4 Er 0.3234 0.8234 0.5000  4 O 2.19-2.38
5 Er 0.6766 0.1766 0.5000  4 O 2.19-2.38
6 Er 0.8234 0.6766 0.5000  4 O 2.19-2.38
7 Au 0.0000 0.5000 0.0000  4 O 1.99
8 Au 0.5000 0.0000 0.0000  4 O 1.99
9 O 0.0000 0.0000 0.5000  4 Er 2.38
10 O 0.1390 0.6390 0.2619  1 Au 1.99, 1 Er 2.19
11 O 0.1390 0.6390 0.7381  1 Au 1.99, 1 Er 2.19
12 O 0.3610 0.1390 0.2619  1 Au 1.99, 1 Er 2.19
13 O 0.3610 0.1390 0.7381  1 Au 1.99, 1 Er 2.19
14 O 0.5000 0.5000 0.5000  4 Er 2.38
15 O 0.6390 0.8610 0.2619  1 Au 1.99, 1 Er 2.19
16 O 0.6390 0.8610 0.7381  1 Au 1.99, 1 Er 2.19
17 O 0.8610 0.3610 0.2619  1 Au 1.99, 1 Er 2.19
18 O 0.8610 0.3610 0.7381  1 Au 1.99, 1 Er 2.19

Computed properties:
V: 13.535 Å³/atom
size of the total moment: 0.0000 μB per atom
ΔE_f (raw): -2.192 eV/atom
density: 8.43 g cm⁻³
symmetry: P4/mbm (127)

***

# OsBr3O

A relaxed OsBr3O crystal (PBE-GGA, the Alexandria database).

a b c (Å): 4.9696 4.9696 4.9696
angles (deg): 90.00 90.00 90.00
Closest atoms and distances in Å follow each position.
Atoms (fractional coordinates):
1 Os 0.0000 0.0000 0.0000  6 Br 2.48
2 Br 0.0000 0.0000 0.5000  2 Os 2.48
3 Br 0.0000 0.5000 0.0000  2 Os 2.48
4 Br 0.5000 0.0000 0.0000  2 Os 2.48
5 O 0.5000 0.5000 0.5000  12 Br 3.51

Computed properties:
V: 24.546 Å³/atom
size of the total moment: 0.0000 μB per atom
ΔE_f (raw): 1.065 eV/atom
density: 6.03 g cm⁻³
symmetry: Pm-3m (221)
ΔE to the lowest computed polymorph: 1217 meV per atom